A geometry-optimized La2YAgBr structure. Source: Alexandria via LeMat-Bulk, functional GGA-PBE.

- Space-group type: No. 123
- E_form (uncorrected): 0.355 eV/atom
- Total DFT energy (no corrections): -19.069 eV for the cell shown

Lattice parameters (Å, degrees): 6.093 5.167 6.093 90.00 90.00 90.00
Fractional coordinates of all 5 atoms:
1 La 0.500 0.000 0.000
2 La 0.000 0.000 0.500
3 Y 0.000 0.000 0.000
4 Ag 0.000 0.500 0.000
5 Br 0.500 0.500 0.500

=====

A geometry-optimized LiAg2Br structure. Source: Alexandria via LeMat-Bulk, functional GGA-PBE.

- Space-group type: No. 12
- E_form (uncorrected): -0.426 eV/atom
- Total DFT energy (no corrections): -10.995 eV for the cell shown
- E above lowest polymorph: 0.021 eV/f.u.

Lattice parameters (Å, degrees): 7.411 7.411 3.642 103.60 103.60 28.43
Fractional coordinates of all 4 atoms:
1 Br 0.750 0.750 0.750
2 Ag 0.536 0.536 0.535
3 Ag 0.964 0.964 0.965
4 Li 0.250 0.250 0.250

=====

A geometry-optimized Li2AgBr4 structure. Source: Alexandria via LeMat-Bulk, functional GGA-PBE.

- Space-group type: No. 61
- E_form (uncorrected): -0.929 eV/atom
- Total DFT energy (no corrections): -79.499 eV for the cell shown
- E above lowest polymorph: 0.000 eV/f.u.

Lattice parameters (Å, degrees): 7.676 7.147 13.184 90.00 90.00 90.00
Fractional coordinates of all 28 atoms:
1 Li 0.078 0.439 0.644
2 Li 0.578 0.439 0.856
3 Li 0.422 0.561 0.144
4 Li 0.578 0.061 0.356
5 Li 0.422 0.939 0.644
6 Li 0.922 0.939 0.856
7 Li 0.078 0.061 0.144
8 Li 0.922 0.561 0.356
9 Br 0.144 0.319 0.448
10 Br 0.890 0.929 0.311
11 Br 0.890 0.571 0.811
12 Br 0.644 0.181 0.552
13 Br 0.356 0.681 0.948
14 Br 0.356 0.819 0.448
15 Br 0.610 0.071 0.811
16 Br 0.644 0.319 0.052
17 Br 0.390 0.929 0.189
18 Br 0.610 0.429 0.311
19 Br 0.110 0.429 0.189
20 Br 0.110 0.071 0.689
21 Br 0.856 0.819 0.052
22 Br 0.856 0.681 0.552
23 Br 0.144 0.181 0.948
24 Br 0.390 0.571 0.689
25 Ag 0.500 0.000 0.000
26 Ag 0.000 0.500 0.000
27 Ag 0.000 0.000 0.500
28 Ag 0.500 0.500 0.500

=====

A geometry-optimized Li3Ag5Br12 structure. Source: Alexandria via LeMat-Bulk, functional GGA-PBE.

- Space-group type: No. 230
- E_form (uncorrected): -0.555 eV/atom
- Total DFT energy (no corrections): -204.678 eV for the cell shown

Lattice parameters (Å, degrees): 14.840 14.840 14.840 109.47 109.47 109.47
Fractional coordinates of all 80 atoms:
1 Br 0.841 0.505 0.850
2 Br 0.664 0.159 0.009
3 Br 0.150 0.155 0.491
4 Br 0.841 0.336 0.491
5 Br 0.345 0.836 0.495
6 Br 0.659 0.650 0.995
7 Br 0.491 0.836 0.841
8 Br 0.505 0.841 0.350
9 Br 0.659 0.009 0.164
10 Br 0.655 0.164 0.505
11 Br 0.345 0.509 0.350
12 Br 0.845 0.850 0.009
13 Br 0.150 0.995 0.159
14 Br 0.005 0.155 0.164
15 Br 0.495 0.159 0.650
16 Br 0.655 0.491 0.650
17 Br 0.850 0.845 0.509
18 Br 0.164 0.509 0.659
19 Br 0.495 0.336 0.345
20 Br 0.336 0.495 0.845
21 Br 0.159 0.495 0.150
22 Br 0.009 0.659 0.664
23 Br 0.845 0.995 0.336
24 Br 0.509 0.345 0.850
25 Br 0.991 0.650 0.155
26 Br 0.336 0.841 0.991
27 Br 0.005 0.850 0.341
28 Br 0.155 0.005 0.664
29 Br 0.650 0.991 0.655
30 Br 0.995 0.150 0.659
31 Br 0.509 0.164 0.159
32 Br 0.155 0.150 0.991
33 Br 0.650 0.659 0.495
34 Br 0.836 0.491 0.341
35 Br 0.991 0.341 0.336
36 Br 0.350 0.009 0.345
37 Br 0.491 0.655 0.150
38 Br 0.995 0.845 0.836
39 Br 0.664 0.505 0.155
40 Br 0.164 0.655 0.005
41 Br 0.850 0.005 0.841
42 Br 0.836 0.345 0.995
43 Br 0.341 0.991 0.836
44 Br 0.505 0.664 0.655
45 Br 0.009 0.350 0.845
46 Br 0.159 0.664 0.509
47 Br 0.350 0.341 0.505
48 Br 0.341 0.350 0.005
49 Li 0.750 0.875 0.625
50 Li 0.250 0.125 0.375
51 Li 0.375 0.625 0.250
52 Li 0.125 0.875 0.750
53 Li 0.875 0.750 0.125
54 Li 0.875 0.125 0.250
55 Li 0.625 0.375 0.750
56 Li 0.375 0.750 0.625
57 Li 0.125 0.250 0.875
58 Li 0.625 0.250 0.375
59 Li 0.750 0.375 0.125
60 Li 0.250 0.625 0.875
61 Ag 0.375 0.250 0.125
62 Ag 0.875 0.625 0.750
63 Ag 0.000 0.500 0.500
64 Ag 0.875 0.250 0.625
65 Ag 0.750 0.125 0.875
66 Ag 0.000 0.500 0.000
67 Ag 0.125 0.375 0.250
68 Ag 0.250 0.375 0.625
69 Ag 0.125 0.750 0.375
70 Ag 0.500 0.000 0.000
71 Ag 0.000 0.000 0.500
72 Ag 0.500 0.000 0.500
73 Ag 0.500 0.500 0.000
74 Ag 0.375 0.125 0.750
75 Ag 0.500 0.500 0.500
76 Ag 0.000 0.000 0.000
77 Ag 0.625 0.750 0.875
78 Ag 0.750 0.625 0.375
79 Ag 0.625 0.875 0.250
80 Ag 0.250 0.875 0.125

=====

A geometry-optimized Li3AgBr structure. Source: Alexandria via LeMat-Bulk, functional GGA-PBE.

- Space-group type: No. 221
- E_form (uncorrected): -0.239 eV/atom
- Total DFT energy (no corrections): -11.460 eV for the cell shown
- E above lowest polymorph: 0.712 eV/f.u.

Lattice parameters (Å, degrees): 5.014 5.014 5.014 90.00 90.00 90.00
Fractional coordinates of all 5 atoms:
1 Br 0.500 0.500 0.500
2 Li 0.000 0.500 0.000
3 Li 0.000 0.000 0.500
4 Li 0.500 0.000 0.000
5 Ag 0.000 0.000 0.000

=====

A geometry-optimized LiAgBr structure. Source: Alexandria via LeMat-Bulk, functional GGA-PBE.

- Space-group type: No. 216
- E_form (uncorrected): -0.310 eV/atom
- Total DFT energy (no corrections): -7.368 eV for the cell shown
- E above lowest polymorph: 0.423 eV/f.u.

Lattice parameters (Å, degrees): 4.586 4.586 4.586 60.00 60.00 60.00
Fractional coordinates of all 3 atoms:
1 Br 0.500 0.500 0.500
2 Ag 0.000 0.000 0.000
3 Li 0.750 0.750 0.750

=====

A geometry-optimized LiAg2Br structure. Source: Alexandria via LeMat-Bulk, functional GGA-PBE.

- Space-group type: No. 71
- E_form (uncorrected): -0.388 eV/atom
- Total DFT energy (no corrections): -10.840 eV for the cell shown
- E above lowest polymorph: 0.176 eV/f.u.

Lattice parameters (Å, degrees): 7.381 7.381 7.381 152.10 150.69 40.91
Fractional coordinates of all 4 atoms:
1 Ag 0.965 0.965 0.000
2 Ag 0.535 0.535 0.000
3 Br 0.750 0.250 0.500
4 Li 0.250 0.750 0.500

=====

A geometry-optimized Li2AgBr structure. Source: Alexandria via LeMat-Bulk, functional GGA-PBE.

- Space-group type: No. 122
- E_form (uncorrected): -0.580 eV/atom
- Total DFT energy (no corrections): -21.340 eV for the cell shown
- E above lowest polymorph: 0.301 eV/f.u.

Lattice parameters (Å, degrees): 6.753 6.753 6.427 58.31 58.31 90.00
Fractional coordinates of all 8 atoms:
1 Br 0.500 0.500 0.000
2 Br 0.250 0.750 0.500
3 Li 0.598 0.125 0.250
4 Li 0.152 0.625 0.250
5 Li 0.375 0.402 0.750
6 Li 0.875 0.848 0.750
7 Ag 0.750 0.250 0.500
8 Ag 0.000 0.000 0.000

=====

Q: Which formula does entry 5 have?
A: Li3AgBr

=====

Q: What is the E_form (uncorrected) in the sixth record?
A: -0.310 eV/atom

=====

Q: Which of these has the lowest E_form (uncorrected)?
A: Li2AgBr4